MgAlPS2 | GGA-PBE | relaxed

Computed properties:
The calculation puts the calculated volume at 101.09 Å³/cell. As for the formation energy from raw total energies: -6 meV/atom. Its symmetry is P4/mmm (123). The calculation puts the energy above the most stable polymorph in this dataset at 0.0000 eV/atom.

Cell lengths 4.6570, 4.6570, 4.6611 Å; angles 90.00, 90.00, 90.00 degrees
With the nearest neighbours (Å) after each atom.
Element x y z (fractional)
Mg 0.5000 0.5000 0.5000  4 P 3.29, 8 S 3.29
P 0.0000 0.0000 0.5000  2 Al 2.33
S 0.0000 0.5000 0.0000  2 Al 2.33
S 0.5000 0.0000 0.0000  2 Al 2.33
Al 0.0000 0.0000 0.0000  4 S 2.33, 2 P 2.33

Mn2CoReH | GGA-PBE | relaxed

Computed properties:
The calculation puts the calculated volume at 48.74 Å³/cell. Its symmetry is P4/mmm (123). The calculation puts the energy above the most stable polymorph in this dataset at 0.0000 eV/atom.

Cell lengths 3.6858, 3.6858, 3.5876 Å; angles 90.00, 90.00, 90.00 degrees
With the nearest neighbours (Å) after each atom.
Element x y z (fractional)
Re 0.5000 0.5000 0.5000  8 Mn 2.57, 4 Co 2.61
Mn 0.0000 0.5000 0.0000  2 H 1.84
Mn 0.5000 0.0000 0.0000  2 H 1.84
Co 0.0000 0.0000 0.5000  2 H 1.79
H 0.0000 0.0000 0.0000  2 Co 1.79, 4 Mn 1.84

BeNiIr2 | GGA-PBE | relaxed

Computed properties:
The calculation puts the calculated volume at 50.85 Å³/cell. Its formation energy is 0.1122 eV per atom. Its symmetry is F-43m (216).

Cell lengths 4.1585, 4.1585, 4.1585 Å; angles 60.00, 60.00, 60.00 degrees
With the nearest neighbours (Å) after each atom.
Element x y z (fractional)
Ni 0.7500 0.7500 0.7500  4 Ir 2.55, 4 Be 2.55
Ir 0.0000 0.0000 0.0000  4 Ir 2.55, 4 Ni 2.55
Ir 0.2500 0.2500 0.2500  4 Be 2.55, 4 Ir 2.55
Be 0.5000 0.5000 0.5000  4 Ni 2.55, 4 Ir 2.55

CdCl2 | GGA-PBE | relaxed

Computed properties:
The calculation puts the calculated volume at 183.89 Å³/cell. As for the formation energy from raw total energies: -1045 meV/atom. Its symmetry is Cmcm (63).

Cell lengths 8.9545, 8.9545, 5.4606 Å; angles 90.00, 90.00, 155.17 degrees
With the nearest neighbours (Å) after each atom.
Element x y z (fractional)
Cd 0.0477 0.9523 0.0000  6 Cl 2.51-2.81
Cd 0.3968 0.6032 0.5000  6 Cl 2.51-2.81
Cl 0.4337 0.5663 0.0000  4 Cd 2.77-2.81
Cl 0.6400 0.3600 0.0000  2 Cd 2.51
Cl 0.8044 0.1956 0.5000  2 Cd 2.51
Cl 0.0107 0.9893 0.5000  4 Cd 2.77-2.81

Rb3Pu2ScO9 | GGA-PBE | relaxed

Computed properties:
The calculation puts the calculated volume at 229.47 Å³/cell. As for the formation energy from raw total energies: -2489 meV/atom. Its symmetry is P-3m1 (164).

Cell lengths 5.9995, 5.9995, 7.3616 Å; angles 90.00, 90.00, 120.00 degrees
With the nearest neighbours (Å) after each atom.
Element x y z (fractional)
Rb 0.3333 0.6667 0.6621  12 O 2.98-3.03
Rb 0.0000 0.0000 0.0000  12 O 3.00
Rb 0.6667 0.3333 0.3379  12 O 2.98-3.03
Pu 0.3333 0.6667 0.1721  6 O 2.05-2.15
Pu 0.6667 0.3333 0.8279  6 O 2.05-2.15
Sc 0.0000 0.0000 0.5000  6 O 2.18
O 0.8294 0.1706 0.6711  1 Pu 2.05, 1 Sc 2.18
O 0.8294 0.6588 0.6711  1 Pu 2.05, 1 Sc 2.18
O 0.3412 0.1706 0.6711  1 Pu 2.05, 1 Sc 2.18
O 0.6588 0.8294 0.3289  1 Pu 2.05, 1 Sc 2.18
O 0.1706 0.3412 0.3289  1 Pu 2.05, 1 Sc 2.18
O 0.1706 0.8294 0.3289  1 Pu 2.05, 1 Sc 2.18
O 0.5000 0.0000 0.0000  2 Pu 2.15
O 0.0000 0.5000 0.0000  2 Pu 2.15
O 0.5000 0.5000 0.0000  2 Pu 2.15

Nd4CuSb2 | GGA-PBE | relaxed

Computed properties:
The calculation puts the calculated volume at 234.30 Å³/cell. As for the formation energy from raw total energies: -537 meV/atom. Its symmetry is C2/m (12).

Cell lengths 4.3519, 7.5882, 8.4027 Å; angles 117.97, 105.01, 90.00 degrees
With the nearest neighbours (Å) after each atom.
Element x y z (fractional)
Nd 0.8838 0.2076 0.7677  1 Cu 2.99, 3 Sb 3.12-3.15
Nd 0.1162 0.7924 0.2323  1 Cu 2.99, 3 Sb 3.12-3.15
Nd 0.6196 0.2701 0.2393  2 Cu 2.97, 3 Sb 3.14-3.18
Nd 0.3804 0.7299 0.7607  2 Cu 2.97, 3 Sb 3.14-3.18
Cu 0.0000 0.0000 0.0000  6 Nd 2.97-2.99
Sb 0.7407 0.7421 0.4814  6 Nd 3.12-3.18
Sb 0.2593 0.2579 0.5186  6 Nd 3.12-3.18

LaMgGa | GGA-PBE | relaxed

Computed properties:
The calculation puts the calculated volume at 162.73 Å³/cell. Its formation energy is -0.3643 eV per atom. Its symmetry is P2_1/m (11).

Cell lengths 8.9619, 4.1758, 4.4918 Å; angles 90.00, 104.52, 90.01 degrees
With the nearest neighbours (Å) after each atom.
Element x y z (fractional)
Mg 0.8632 0.3836 0.9446  1 Ga 2.83
Mg 0.6877 0.8839 0.3562  1 Ga 2.83
Ga 0.3618 0.8835 0.1926  2 Ga 2.57, 1 Mg 2.83
Ga 0.1893 0.3835 0.1089  2 Ga 2.57, 1 Mg 2.83
La 0.0867 0.8835 0.5567  6 Ga 3.19-3.28, 1 Mg 3.46
La 0.4644 0.3836 0.7448  6 Ga 3.19-3.28, 1 Mg 3.46

PaInMo | GGA-PBE | relaxed

Computed properties:
The calculation puts the calculated volume at 64.54 Å³/cell. Its formation energy is 0.3025 eV per atom. Its symmetry is P-6m2 (187). The calculation puts the energy above the most stable polymorph in this dataset at 0.1119 eV/atom.

Cell lengths 2.9083, 5.0620, 5.0620 Å; angles 120.00, 90.00, 90.00 degrees
With the nearest neighbours (Å) after each atom.
Element x y z (fractional)
Mo 0.5009 0.3333 0.6667  2 Mo 2.91, 3 In 2.92
Pa 0.0000 0.0000 0.0000  2 Pa 2.91
In 0.4992 0.6667 0.3333  2 In 2.91, 3 Mo 2.92